# VCdGaRe2 (GGA-PBE, relaxed)
# Density ... 10.359 g cm⁻³
# V ... 19.4 Å³ per atom
# ΔH_f (0 K) ... 1.323 eV/atom
# Total moment ... 0.00 Bohr magnetons per cell
data_VCdGaRe2
_cell_length_a 4.538
_cell_length_b 4.714
_cell_length_c 4.538
_cell_angle_alpha 90.00
_cell_angle_beta 90.00
_cell_angle_gamma 90.00
_symmetry_space_group_name_H-M 'P 1'
_symmetry_Int_Tables_number 1
_symmetry_space_group_name_Hall 'P 1'
loop_
_atom_site_label
_atom_site_type_symbol
_atom_site_fract_x
_atom_site_fract_y
_atom_site_fract_z
_atom_site_occupancy
Re1 Re 0.000 0.000 0.500 1
Re2 Re 0.500 0.000 0.000 1
V1 V 0.000 0.000 0.000 1
Ga1 Ga 0.000 0.500 0.000 1
Cd1 Cd 0.500 0.500 0.500 1

***

# Cd2GaReW (GGA-PBE, relaxed)
# Density ... 8.071 g cm⁻³
# V ... 27.3 Å³ per atom
# ΔH_f (0 K) ... 1.505 eV/atom
# Total moment ... 0.00 Bohr magnetons per cell
data_Cd2GaReW
_cell_length_a 5.425
_cell_length_b 4.646
_cell_length_c 5.425
_cell_angle_alpha 90.00
_cell_angle_beta 90.00
_cell_angle_gamma 90.00
_symmetry_space_group_name_H-M 'P 1'
_symmetry_Int_Tables_number 1
_symmetry_space_group_name_Hall 'P 1'
loop_
_atom_site_label
_atom_site_type_symbol
_atom_site_fract_x
_atom_site_fract_y
_atom_site_fract_z
_atom_site_occupancy
Re1 Re 0.000 0.500 0.000 1
Ga1 Ga 0.500 0.500 0.500 1
Cd1 Cd 0.000 0.000 0.500 1
Cd2 Cd 0.500 0.000 0.000 1
W1 W 0.000 0.000 0.000 1

***

# CdGaRh3 (GGA-PBE, relaxed)
# Density ... 7.058 g cm⁻³
# V ... 23.1 Å³ per atom
# ΔH_f (0 K) ... 1.453 eV/atom
# Total moment ... 1.98 Bohr magnetons per cell
# Relative energy among the computed polymorphs ... 4.86 eV per formula unit
data_CdGaRh3
_cell_length_a 4.870
_cell_length_b 4.870
_cell_length_c 4.870
_cell_angle_alpha 90.00
_cell_angle_beta 90.00
_cell_angle_gamma 90.00
_symmetry_space_group_name_H-M 'P 1'
_symmetry_Int_Tables_number 1
_symmetry_space_group_name_Hall 'P 1'
loop_
_atom_site_label
_atom_site_type_symbol
_atom_site_fract_x
_atom_site_fract_y
_atom_site_fract_z
_atom_site_occupancy
Cd1 Cd 0.000 0.000 0.000 1
Rh1 Rh 0.000 0.000 0.500 1
Rh2 Rh 0.500 0.000 0.000 1
Rh3 Rh 0.000 0.500 0.000 1
Ga1 Ga 0.500 0.500 0.500 1

***

# CdGa2Rh2 (GGA-PBE, relaxed)
# Density ... 8.638 g cm⁻³
# V ... 17.6 Å³ per atom
# ΔH_f (0 K) ... -0.304 eV/atom
# Total moment ... 0.00 Bohr magnetons per cell
# Relative energy among the computed polymorphs ... 0.95 eV per formula unit
data_CdGa2Rh2
_cell_length_a 4.224
_cell_length_b 4.224
_cell_length_c 5.766
_cell_angle_alpha 68.51
_cell_angle_beta 68.51
_cell_angle_gamma 90.00
_symmetry_space_group_name_H-M 'P 1'
_symmetry_Int_Tables_number 1
_symmetry_space_group_name_Hall 'P 1'
loop_
_atom_site_label
_atom_site_type_symbol
_atom_site_fract_x
_atom_site_fract_y
_atom_site_fract_z
_atom_site_occupancy
Ga1 Ga 0.376 0.376 0.248 1
Ga2 Ga 0.624 0.624 0.752 1
Rh1 Rh 0.750 0.250 0.500 1
Rh2 Rh 0.250 0.750 0.500 1
Cd1 Cd 0.000 0.000 0.000 1

***

The highest total moment belongs to which entry? CdGaRh3